# 1
! YMg2Re (PBEsol, optimized geometry); values from VASP
&SYSTEM
  ibrav = 0, nat = 4, ntyp = 3
/
ATOMIC_SPECIES
Mg 24.30 Mg.upf
Re 186.21 Re.upf
Y 88.91 Y.upf
CELL_PARAMETERS angstrom
-0.2188 -4.3660 1.9043
3.7277 -2.9506 -0.3668
2.5973 -1.0511 3.8582
ATOMIC_POSITIONS angstrom
Mg 4.5797 -6.2758 4.0467
Mg 1.5266 -2.0919 1.3489
Re 0.0000 0.0000 0.0000
Y 3.0531 -4.1839 2.6978
! - Density: 7.0 g/cm³
! - DFT formation energy: 9.53 kcal/mol of atoms
! - E_tot: -21.9 eV for the cell shown
! - Magnetic moment: 0.00 μB per formula unit

---

# 2
! Y2MgRe (PBEsol, optimized geometry); values from VASP
&SYSTEM
  ibrav = 0, nat = 4, ntyp = 3
/
ATOMIC_SPECIES
Re 186.21 Re.upf
Y 88.91 Y.upf
Mg 24.30 Mg.upf
CELL_PARAMETERS angstrom
4.9160 0.0000 0.0000
2.4580 4.2573 0.0000
2.4580 1.4191 4.0139
ATOMIC_POSITIONS angstrom
Re 2.4580 1.4191 1.0035
Y 7.3739 4.2573 3.0104
Y 0.0000 0.0000 0.0000
Mg 4.9160 2.8382 2.0069
! - Density: 7.7 g/cm³
! - DFT formation energy: 8.50 kcal/mol of atoms
! - E_tot: -27.2 eV for the cell shown
! - Magnetic moment: 0.00 μB per formula unit